# Pr3Sm7Mg (PBE, relaxed)
# D(E_F) ... 1.454 states/eV/atom
# Energy ... -4.28 eV/atom
# E_form ... 0.17 eV per atom
data_Pr3Sm7Mg
_chemical_formula_sum 'Pr3 Sm7 Mg1'
_symmetry_space_group_name_H-M 'P 3 m 1'
_symmetry_Int_Tables_number 156
_cell_length_a 7.1426
_cell_length_b 7.1426
_cell_length_c 8.7872
_cell_angle_alpha 90.00
_cell_angle_beta 90.00
_cell_angle_gamma 120.00
loop_
_symmetry_equiv_pos_as_xyz
'x,y,z'
'-y,x-y,z'
'-x+y,-x,z'
'-y,-x,z'
'-x+y,y,z'
'x,x-y,z'
loop_
_atom_site_label
_atom_site_type_symbol
_atom_site_fract_x
_atom_site_fract_y
_atom_site_fract_z
Pr1 Pr 0.1677 0.3355 0.0000
Sm1 Sm 0.0044 0.5022 0.3378
Sm2 Sm 0.3330 0.1665 0.6614
Sm3 Sm 0.3333 0.6667 0.6660
Mg1 Mg 0.0000 0.0000 0.3402

# Pr4Sm5Mg (PBE, relaxed)
# D(E_F) ... 1.289 states/eV/atom
# Excess energy over the best structure of this formula in the dataset ... 0.000 eV per atom
# Energy ... -4.44 eV/atom
# E_form ... -0.01 eV per atom
data_Pr4Sm5Mg
_chemical_formula_sum 'Pr4 Sm5 Mg1'
_symmetry_space_group_name_H-M 'P 4/m m m'
_symmetry_Int_Tables_number 123
_symmetry_space_group_name_Hall '-P 4 2'
_cell_length_a 3.697
_cell_length_b 3.697
_cell_length_c 24.708
_cell_angle_alpha 90.00
_cell_angle_beta 90.00
_cell_angle_gamma 90.00
loop_
_atom_site_label
_atom_site_type_symbol
_atom_site_fract_x
_atom_site_fract_y
_atom_site_fract_z
Pr1 Pr 0.000 0.000 0.104
Pr2 Pr 0.000 0.000 0.313
Sm1 Sm 0.500 0.500 0.000
Sm2 Sm 0.500 0.500 0.208
Sm3 Sm 0.500 0.500 0.415
Mg1 Mg 0.000 0.000 0.500

# Pr2SmMg (PBE, relaxed)
# D(E_F) ... 1.162 states/eV/atom
# Excess energy over the best structure of this formula in the dataset ... 0.229 eV per atom
# Energy ... -3.78 eV/atom
# E_form ... 0.19 eV per atom
data_Pr2SmMg
_chemical_formula_sum 'Pr6 Sm3 Mg3'
_symmetry_space_group_name_H-M 'R -3 m'
_symmetry_Int_Tables_number 166
_symmetry_space_group_name_Hall '-R 3 2"'
_cell_length_a 3.5479
_cell_length_b 3.5479
_cell_length_c 38.0330
_cell_angle_alpha 90.00
_cell_angle_beta 90.00
_cell_angle_gamma 120.00
loop_
_atom_site_label
_atom_site_type_symbol
_atom_site_fract_x
_atom_site_fract_y
_atom_site_fract_z
Pr1 Pr 0.0000 0.0000 0.0887
Sm1 Sm 0.0000 0.0000 0.5000
Mg1 Mg 0.0000 0.0000 0.0000

# Pr2SmMg5 (PBE, relaxed)
# D(E_F) ... 1.020 states/eV/atom
# Energy ... -2.87 eV/atom
# E_form ... -0.09 eV per atom
data_Pr2SmMg5
_chemical_formula_sum 'Pr4 Sm2 Mg10'
_symmetry_space_group_name_H-M 'I 4/m m m'
_symmetry_Int_Tables_number 139
_symmetry_space_group_name_Hall '-I 4 2'
_cell_length_a 5.289
_cell_length_b 5.289
_cell_length_c 15.868
_cell_angle_alpha 90.00
_cell_angle_beta 90.00
_cell_angle_gamma 90.00
loop_
_atom_site_label
_atom_site_type_symbol
_atom_site_fract_x
_atom_site_fract_y
_atom_site_fract_z
Pr1 Pr 0.000 0.000 0.239
Sm1 Sm 0.000 0.000 0.500
Mg1 Mg 0.000 0.000 0.000
Mg2 Mg 0.000 0.500 0.116